1.
DFT (GGA-PBE) results for Tb2Ga3Si after structural relaxation.

Values from the calculation:
Volume ... 20.48 Å³/atom
ΔE_f (raw) ... -0.67 eV per atom
Total magnetization ... 0.0 μB/cell
E_tot ... -4.629 eV/atom

Structure (CIF):
```
data_Tb2Ga3Si
_cell_length_a 4.087
_cell_length_b 4.168
_cell_length_c 7.213
_cell_angle_alpha 90.00
_cell_angle_beta 90.00
_cell_angle_gamma 90.00
_symmetry_space_group_name_H-M 'P 1'
_symmetry_Int_Tables_number 1
loop_
_symmetry_equiv_pos_as_xyz
'x,y,z'
loop_
_atom_site_label
_atom_site_type_symbol
_atom_site_fract_x
_atom_site_fract_y
_atom_site_fract_z
Ga1 Ga 0.500 0.500 0.666
Ga2 Ga 0.500 0.000 0.167
Ga3 Ga 0.500 0.000 0.831
Tb1 Tb 0.000 0.500 0.006
Tb2 Tb 0.000 0.000 0.495
Si1 Si 0.500 0.500 0.335
```

2.
DFT (GGA-PBE) results for ScHgRh after structural relaxation.

Values from the calculation:
Volume ... 20.01 Å³/atom
Energy of formation ... -0.3392 eV/atom
Total magnetization ... 0.0 μB/cell
E_tot ... -5.001 eV/atom

Structure (CIF):
```
data_ScHgRh
_cell_length_a 3.343
_cell_length_b 3.343
_cell_length_c 6.203
_cell_angle_alpha 90.00
_cell_angle_beta 90.00
_cell_angle_gamma 120.00
_symmetry_space_group_name_H-M 'P 1'
_symmetry_Int_Tables_number 1
loop_
_symmetry_equiv_pos_as_xyz
'x,y,z'
loop_
_atom_site_label
_atom_site_type_symbol
_atom_site_fract_x
_atom_site_fract_y
_atom_site_fract_z
Rh1 Rh 0.667 0.333 0.357
Hg1 Hg 0.000 0.000 0.012
Sc1 Sc 0.333 0.667 0.631
```

> Look up the volume of the first one.

20.48 Å³/atom

> Among the records above, which one has the lowest E_tot?

ScHgRh

> Among the records above, which one has the highest volume?

Tb2Ga3Si